The following is a PBE calculation of a geometry-optimized LiGa2I6 structure, from Alexandria via LeMat-Bulk.

Structure (CIF):
```
data_LiGa2I6
_space_group_name_H-M_alt 'C 1 2/c 1'
_space_group_IT_number 15
_space_group_name_Hall '-C 2yc'
_cell_length_a 16.1489
_cell_length_b 15.4393
_cell_length_c 8.6973
_cell_angle_alpha 90.00
_cell_angle_beta 120.88
_cell_angle_gamma 90.00
loop_
_atom_site_label
_atom_site_type_symbol
_atom_site_fract_x
_atom_site_fract_y
_atom_site_fract_z
Li1 Li 0.0000 0.1982 0.2500
Ga1 Ga 0.2111 0.4111 0.2901
I1 I 0.1014 0.0882 0.5554
I2 I 0.1402 0.2543 0.1753
I3 I 0.1447 0.4858 0.4930
```

Values from the calculation:
The value obtained for the formation energy without anion corrections is -0.566 eV/atom. As for the density of states at the Fermi level: 0.2783 states/eV per atom. The polymorph energy (0 for the lowest one) is 0.0000 eV/atom. The total magnetization is 0.0 μB per formula unit.

---

The following is a PBE calculation of a geometry-optimized PuTlHgCl6 structure, from Alexandria via LeMat-Bulk.

Structure (CIF):
```
data_PuTlHgCl6
_space_group_name_H-M_alt 'P -3 1 c'
_space_group_IT_number 163
_space_group_name_Hall '-P 3 2c'
_cell_length_a 7.1791
_cell_length_b 7.1791
_cell_length_c 13.6634
_cell_angle_alpha 90.00
_cell_angle_beta 90.00
_cell_angle_gamma 120.00
loop_
_atom_site_label
_atom_site_type_symbol
_atom_site_fract_x
_atom_site_fract_y
_atom_site_fract_z
Pu1 Pu 0.3333 0.6667 0.2500
Tl1 Tl 0.0000 0.0000 0.0000
Hg1 Hg 0.3333 0.6667 0.7500
Cl1 Cl 0.0010 0.3709 0.1390
```

Values from the calculation:
The value obtained for the formation energy without anion corrections is -1.265 eV/atom. As for the density of states at the Fermi level: 1.1419 states/eV per atom. The total magnetization is 5.0 μB per formula unit.

---

The following is a PBE calculation of a geometry-optimized CeNd2Au structure, from Alexandria via LeMat-Bulk.

Structure (CIF):
```
data_CeNd2Au
_space_group_name_H-M_alt 'P 4/m m m'
_space_group_IT_number 123
_space_group_name_Hall '-P 4 2'
_cell_length_a 3.7106
_cell_length_b 3.7106
_cell_length_c 8.3043
_cell_angle_alpha 90.00
_cell_angle_beta 90.00
_cell_angle_gamma 90.00
loop_
_atom_site_label
_atom_site_type_symbol
_atom_site_fract_x
_atom_site_fract_y
_atom_site_fract_z
Ce1 Ce 0.0000 0.0000 0.0000
Nd1 Nd 0.5000 0.5000 0.2806
Au1 Au 0.0000 0.0000 0.5000
```

Values from the calculation:
As for the formation enthalpy at 0 K: -319 meV per atom. As for the density of states at the Fermi level: 1.5670 states/eV per atom. The polymorph energy (0 for the lowest one) is 0.0000 eV/atom. The total magnetization is 0.4 μB per formula unit.

---

The following is a PBE calculation of a geometry-optimized Er3Ga4Pd4 structure, from Alexandria via LeMat-Bulk.

Structure (CIF):
```
data_Er3Ga4Pd4
_space_group_name_H-M_alt 'I m m m'
_space_group_IT_number 71
_space_group_name_Hall '-I 2 2'
_cell_length_a 4.1410
_cell_length_b 7.1582
_cell_length_c 14.1070
_cell_angle_alpha 90.00
_cell_angle_beta 90.00
_cell_angle_gamma 90.00
loop_
_atom_site_label
_atom_site_type_symbol
_atom_site_fract_x
_atom_site_fract_y
_atom_site_fract_z
Er1 Er 0.0000 0.0000 0.0000
Er2 Er 0.0000 0.5000 0.1254
Ga1 Ga 0.0000 0.2994 0.3260
Pd1 Pd 0.0000 0.0000 0.2127
Pd2 Pd 0.0000 0.1978 0.5000
```

Values from the calculation:
As for the formation enthalpy at 0 K: -836 meV per atom. As for the density of states at the Fermi level: 0.5969 states/eV per atom. The total magnetization is 0.0 μB per formula unit.

---

The following is a PBE calculation of a geometry-optimized InNiCl2 structure, from Alexandria via LeMat-Bulk.

Structure (CIF):
```
data_InNiCl2
_space_group_name_H-M_alt 'F m -3 m'
_space_group_IT_number 225
_space_group_name_Hall '-F 4 2 3'
_cell_length_a 7.0349
_cell_length_b 7.0349
_cell_length_c 7.0349
_cell_angle_alpha 90.00
_cell_angle_beta 90.00
_cell_angle_gamma 90.00
loop_
_atom_site_label
_atom_site_type_symbol
_atom_site_fract_x
_atom_site_fract_y
_atom_site_fract_z
In1 In 0.0000 0.0000 0.0000
Ni1 Ni 0.0000 0.0000 0.5000
Cl1 Cl 0.2500 0.2500 0.2500
```

Values from the calculation:
The value obtained for the formation energy without anion corrections is 0.070 eV/atom. As for the density of states at the Fermi level: 2.2385 states/eV per atom. The polymorph energy (0 for the lowest one) is 0.5431 eV/atom. The total magnetization is 1.0 μB per formula unit.

---

The following is a PBE calculation of a geometry-optimized KMoAs2 structure, from Alexandria via LeMat-Bulk.

Structure (CIF):
```
data_KMoAs2
_space_group_name_H-M_alt 'R 3 m'
_space_group_IT_number 160
_space_group_name_Hall 'R 3 -2"'
_cell_length_a 3.2135
_cell_length_b 3.2135
_cell_length_c 29.0399
_cell_angle_alpha 90.00
_cell_angle_beta 90.00
_cell_angle_gamma 120.00
loop_
_atom_site_label
_atom_site_type_symbol
_atom_site_fract_x
_atom_site_fract_y
_atom_site_fract_z
K1 K 0.0000 0.0000 0.0000
Mo1 Mo 0.0000 0.0000 0.7737
As1 As 0.0000 0.0000 0.2382
As2 As 0.0000 0.0000 0.4981
```

Values from the calculation:
As for the formation enthalpy at 0 K: 510 meV per atom. As for the density of states at the Fermi level: 0.3455 states/eV per atom. The polymorph energy (0 for the lowest one) is 0.7336 eV/atom. The total magnetization is 0.0 μB per formula unit.

---

The following is a PBE calculation of a geometry-optimized GdP4H4NO12 structure, from Alexandria via LeMat-Bulk.

Structure (CIF):
```
data_GdP4H4NO12
_space_group_name_H-M_alt 'P 1 21/c 1'
_space_group_IT_number 14
_space_group_name_Hall '-P 2ybc'
_cell_length_a 10.5275
_cell_length_b 9.1509
_cell_length_c 12.7790
_cell_angle_alpha 90.00
_cell_angle_beta 124.81
_cell_angle_gamma 90.00
loop_
_atom_site_label
_atom_site_type_symbol
_atom_site_fract_x
_atom_site_fract_y
_atom_site_fract_z
Gd1 Gd 0.1879 0.2214 0.1905
P1 P 0.1114 0.5867 0.2562
P2 P 0.1806 0.6733 0.6412
P3 P 0.3017 0.1039 0.9814
P4 P 0.4785 0.5290 0.7295
H1 H 0.1815 0.6460 0.9658
H2 H 0.2221 0.5661 0.8680
H3 H 0.2561 0.0229 0.4981
H4 H 0.3694 0.6162 0.0211
N1 N 0.2576 0.5771 0.9618
O1 O 0.0214 0.1708 0.2613
O2 O 0.0742 0.7292 0.5073
O3 O 0.0782 0.0467 0.6759
O4 O 0.1426 0.5386 0.6859
O5 O 0.2012 0.1548 0.0224
O6 O 0.2209 0.6977 0.2418
O7 O 0.2334 0.5484 0.4043
O8 O 0.3374 0.2077 0.9104
O9 O 0.3492 0.6579 0.6667
O10 O 0.3652 0.0993 0.6920
O11 O 0.4369 0.0815 0.2929
O12 O 0.4614 0.0417 0.1054
```

Values from the calculation:
As for the final energy: -7.311 eV/atom. As for the density of states at the Fermi level: 0.0000 states/eV per atom. The total magnetization is 6.9 μB per formula unit.

---

The following is a PBE calculation of a geometry-optimized Al2PbAu structure, from Alexandria via LeMat-Bulk.

Structure (CIF):
```
data_Al2PbAu
_space_group_name_H-M_alt 'I 4/m m m'
_space_group_IT_number 139
_space_group_name_Hall '-I 4 2'
_cell_length_a 4.5253
_cell_length_b 4.5253
_cell_length_c 8.1797
_cell_angle_alpha 90.00
_cell_angle_beta 90.00
_cell_angle_gamma 90.00
loop_
_atom_site_label
_atom_site_type_symbol
_atom_site_fract_x
_atom_site_fract_y
_atom_site_fract_z
Al1 Al 0.0000 0.5000 0.2500
Pb1 Pb 0.0000 0.0000 0.0000
Au1 Au 0.0000 0.0000 0.5000
```

Values from the calculation:
As for the formation enthalpy at 0 K: 143 meV per atom. As for the density of states at the Fermi level: 0.4624 states/eV per atom. The total magnetization is 0.0 μB per formula unit.